# 1
The following is a GGA-PBE calculation of a geometry-optimized LaCeNd6Tm2 structure, from the Alexandria database.

```
LaCeNd6Tm2
1.0
5.6725 -3.4746 0.0000
5.6725 3.4746 0.0000
-1.9486 0.0000 8.7761
La Ce Nd Tm
1 1 6 2
direct
0.0000 0.0000 0.0000
0.5000 0.5000 0.5000
0.0677 0.5966 0.6973
0.3656 0.3656 0.0797
0.4034 0.9323 0.3027
0.5966 0.0677 0.6973
0.6344 0.6344 0.9203
0.9323 0.4034 0.3027
0.0932 0.0932 0.6564
0.9068 0.9068 0.3436
```

D(E_F) (states/eV per cell): 23.3
Symmetry: C2/m (12)
Crystal system: monoclinic
E_form (eV per atom): 0.227



# 2
The following is a GGA-PBE calculation of a geometry-optimized Rb2PmNb2O7 structure, from the Alexandria database.

```
Rb2PmNb2O7
1.0
-2.0323 2.0323 11.3290
2.0323 -2.0323 11.3290
2.0323 2.0323 -11.3290
Rb Pm Nb O
2 1 2 7
direct
0.1907 0.1907 0.0000
0.8093 0.8093 0.0000
0.0000 0.0000 0.0000
0.4082 0.4082 0.0000
0.5918 0.5918 0.0000
0.0768 0.5768 0.5000
0.3250 0.3250 0.0000
0.4232 0.9232 0.5000
0.5000 0.5000 0.0000
0.5768 0.0768 0.5000
0.6750 0.6750 0.0000
0.9232 0.4232 0.5000
```

D(E_F) (states/eV per cell): 0.5
Symmetry: I4/mmm (139)
Formation energy (no corrections) (eV/f.u.): -30.528
Crystal system: tetragonal